i.
The following is a PBEsol calculation of an optimized crystal structure of Y2BeTe, from the Alexandria database.

Unit cell a=3.7380 b=4.6183 c=10.5007 alpha=90.00 beta=90.00 gamma=90.00
Space group Imm2 (No. 44)
Inequivalent atoms, fractional coordinates:
Y 0.0000 0.0000 0.0000
Y 0.0000 0.5000 0.2313
Be 0.0000 0.5000 0.7581
Te 0.0000 0.0000 0.4395

---

ii.
The following is a PBEsol calculation of an optimized crystal structure of Y2BeTe, from the Alexandria database.

Unit cell a=4.1690 b=4.1690 c=5.8916 alpha=90.00 beta=90.00 gamma=90.00
Space group P4mm (No. 99)
Inequivalent atoms, fractional coordinates:
Y 0.0000 0.0000 0.0000
Y 0.5000 0.5000 0.4980
Be 0.0000 0.0000 0.4997
Te 0.5000 0.5000 0.9978

---

Q: Which of them is the least stable? A: i.